Computed, not measured: an optimized crystal structure of MgCoSCl2 at the PBE level of DFT.

Lattice parameters (Å, degrees): 4.5647 4.5647 4.6268 90.00 90.00 90.00
With the nearest neighbours (Å) after each atom.
Fractional positions:
Mg  0.5000  0.5000  0.5000  4 S 3.23, 8 Cl 3.25
Co  0.0000  0.0000  0.0000  4 Cl 2.28, 2 S 2.31
Cl  0.5000  0.0000  0.0000  2 Co 2.28
Cl  0.0000  0.5000  0.0000  2 Co 2.28
S  0.0000  0.0000  0.5000  2 Co 2.31

space-group type: P4/mmm (123)
distance to the lowest polymorph of the same formula: 0.0 kJ/mol of atoms


Computed, not measured: an optimized crystal structure of Pr3AlTl3Te8 at the PBE level of DFT.

Lattice parameters (Å, degrees): 9.0228 9.0227 9.6272 117.86 90.03 120.02
With the nearest neighbours (Å) after each atom.
Fractional positions:
Pr  0.0000  0.5000  0.5000  6 Te 3.18-3.21
Pr  0.5000  0.5000  0.5000  6 Te 3.18-3.21
Pr  0.5000  0.0000  0.5000  6 Te 3.18-3.21
Te  0.2183  0.4365  0.7049  1 Al 2.87, 2 Pr 3.21
Te  0.2579  0.5160  0.2737  3 Pr 3.18, 3 Tl 3.42
Te  0.7817  0.5635  0.2951  1 Al 2.87, 2 Pr 3.21
Te  0.7421  0.4840  0.7263  3 Pr 3.18, 3 Tl 3.42
Te  0.7817  0.0135  0.2951  1 Al 2.87, 2 Pr 3.21
Te  0.2183  0.9865  0.7049  1 Al 2.87, 2 Pr 3.21
Te  0.7681  0.9864  0.7049  1 Al 2.87, 2 Pr 3.21
Te  0.2319  0.0136  0.2951  1 Al 2.87, 2 Pr 3.21
Al  0.0000  0.0000  0.5000  6 Te 2.87
Tl  0.5000  0.5000  0.0000  6 Te 3.42-3.45
Tl  0.0000  0.0000  0.0000  6 Te 3.42-3.45
Tl  0.0000  0.5000  0.0000  6 Te 3.42-3.45

space-group type: C2/m (12)
energy: -63.041 eV for the cell shown


Computed, not measured: an optimized crystal structure of Er4MgFe at the PBE level of DFT.

Lattice parameters (Å, degrees): 9.4887 9.4887 9.4887 60.00 60.00 60.00
With the nearest neighbours (Å) after each atom.
Fractional positions:
Er  0.9366  0.5634  0.9366  2 Fe 2.70
Er  0.4073  0.4073  0.4073  3 Fe 2.77
Er  0.5634  0.5634  0.9366  2 Fe 2.70
Er  0.8098  0.1902  0.8098  2 Mg 3.25, 2 Fe 3.40, 10 Er 3.40-3.61
Er  0.7780  0.4073  0.4073  3 Fe 2.77
Er  0.4073  0.4073  0.7780  3 Fe 2.77
Er  0.8098  0.8098  0.1902  2 Mg 3.25, 2 Fe 3.40, 10 Er 3.40-3.61
Er  0.1902  0.1902  0.8098  2 Mg 3.25, 2 Fe 3.40, 10 Er 3.40-3.61
Er  0.1902  0.8098  0.1902  2 Mg 3.25, 2 Fe 3.40, 10 Er 3.40-3.61
Er  0.9366  0.9366  0.5634  2 Fe 2.70
Er  0.9366  0.5634  0.5634  2 Fe 2.70
Er  0.1902  0.8098  0.8098  2 Mg 3.25, 2 Fe 3.40, 10 Er 3.40-3.61
Er  0.8098  0.1902  0.1902  2 Mg 3.25, 2 Fe 3.40, 10 Er 3.40-3.61
Er  0.5634  0.9366  0.9366  2 Fe 2.70
Er  0.4073  0.7780  0.4073  3 Fe 2.77
Er  0.5634  0.9366  0.5634  2 Fe 2.70
Fe  0.1639  0.6120  0.6120  6 Er 2.70-2.77
Fe  0.6120  0.6120  0.1639  6 Er 2.70-2.77
Fe  0.6120  0.1639  0.6120  6 Er 2.70-2.77
Fe  0.6120  0.6120  0.6120  6 Er 2.70-2.77
Mg  0.4874  0.1709  0.1709  3 Mg 3.00, 3 Er 3.25
Mg  0.1709  0.4874  0.1709  3 Mg 3.00, 3 Er 3.25
Mg  0.1709  0.1709  0.1709  3 Mg 3.00, 3 Er 3.25
Mg  0.1709  0.1709  0.4874  3 Mg 3.00, 3 Er 3.25

space-group type: F-43m (216)
energy of formation: -0.047 eV/atom


Computed, not measured: an optimized crystal structure of CaAg2S at the PBE level of DFT.

Lattice parameters (Å, degrees): 8.3354 8.3354 6.4708 49.90 49.90 90.00
With the nearest neighbours (Å) after each atom.
Fractional positions:
S  0.5000  0.5000  0.0000  2 Ca 2.67, 4 Ag 2.68
S  0.2500  0.7500  0.5000  2 Ca 2.67, 4 Ag 2.68
Ca  0.0000  0.0000  0.0000  2 S 2.67
Ca  0.7500  0.2500  0.5000  2 S 2.67
Ag  0.1901  0.6250  0.2500  2 S 2.68, 2 Ag 2.88
Ag  0.3750  0.4401  0.7500  2 S 2.68, 2 Ag 2.88
Ag  0.8750  0.8099  0.7500  2 S 2.68, 2 Ag 2.88
Ag  0.5599  0.1250  0.2500  2 S 2.68, 2 Ag 2.88

space-group type: I-42d (122)
energy: -26.765 eV for the cell shown


| no. | volume (Å³/atom) | N(E_F) (states/eV/cell) | density (g cm⁻³) |
| --- | --- | --- | --- |
| 1 | 19.28 | 4.4 | 3.21 |
| 2 | 38.07 | 6.5 | 6.06 |
| 3 | 25.17 | 31.8 | 8.24 |
| 4 | 23.19 | 3.3 | 5.15 |